No. 1
Computed, not measured: crystalline NaPmZnPt at its relaxed geometry at the PBE-GGA level of DFT.

Computed properties:
The formation energy comes out at -0.400 eV per atom.

Geometry as POSCAR:
```
NaPmZnPt
1.0
4.969 0.000 0.000
2.484 4.303 0.000
2.484 1.434 4.057
Na Zn Pt Pm
1 1 1 1
direct
0.000 0.000 0.000 Na
0.250 0.250 0.250 Zn
0.750 0.750 0.750 Pt
0.500 0.500 0.500 Pm
```

=====

No. 2
Computed, not measured: crystalline Cu2SiPd4 at its relaxed geometry at the PBE-GGA level of DFT.

Computed properties:
The energy relative to the elements, uncorrected comes out at -262.5 meV/atom. The value obtained for the energy above the most stable polymorph in this dataset is 55 meV per atom.

Geometry as POSCAR:
```
Cu2SiPd4
1.0
-4.822 1.193 -1.263
-0.009 -2.649 4.388
2.714 4.311 0.568
Cu Si Pd
2 1 4
direct
0.500 0.500 0.000 Cu
0.500 0.000 0.500 Cu
0.000 0.000 0.000 Si
0.500 0.000 0.000 Pd
0.500 0.500 0.500 Pd
0.000 0.000 0.500 Pd
0.000 0.500 0.000 Pd
```

=====

No. 3
Computed, not measured: crystalline CuIrRh2I at its relaxed geometry at the PBE-GGA level of DFT.

Computed properties:
The energy relative to the elements, uncorrected comes out at 1680.4 meV/atom.

Geometry as POSCAR:
```
CuIrRh2I
1.0
4.807 0.000 0.000
0.000 4.603 0.000
0.000 0.000 4.807
I Ir Rh Cu
1 1 2 1
direct
0.000 0.000 0.000 I
0.500 0.500 0.500 Ir
0.000 0.000 0.500 Rh
0.500 0.000 0.000 Rh
0.000 0.500 0.000 Cu
```

=====

No. 4
Computed, not measured: crystalline SiTcAg2 at its relaxed geometry at the PBE-GGA level of DFT.

Computed properties:
The energy relative to the elements, uncorrected comes out at 511.8 meV/atom.

Geometry as POSCAR:
```
SiTcAg2
1.0
3.671 0.000 0.000
0.000 3.671 0.000
1.835 1.835 10.171
Si Tc Ag
2 2 4
direct
0.500 0.500 0.000 Si
0.250 0.750 0.500 Si
0.000 0.000 0.000 Tc
0.750 0.250 0.500 Tc
0.624 0.125 0.250 Ag
0.126 0.625 0.250 Ag
0.375 0.376 0.750 Ag
0.875 0.874 0.750 Ag
```

=====

No. 5
Computed, not measured: crystalline Ac2PuRe2N6 at its relaxed geometry at the PBE-GGA level of DFT.

Computed properties:
The energy relative to the elements, uncorrected comes out at -718.8 meV/atom.

Geometry as POSCAR:
```
Ac2PuRe2N6
1.0
-3.058 -3.270 -3.864
2.431 -4.858 -2.338
-2.465 -6.063 2.557
Ac Pu Re N
2 1 2 6
direct
0.788 0.788 0.636 Ac
0.212 0.212 0.364 Ac
0.000 0.000 0.000 Pu
0.400 0.400 0.800 Re
0.600 0.600 0.200 Re
0.745 0.745 0.279 N
0.231 0.745 0.279 N
0.745 0.231 0.279 N
0.255 0.769 0.721 N
0.769 0.255 0.721 N
0.255 0.255 0.721 N
```

=====

No. 6
Computed, not measured: crystalline Nd2ZnTe at its relaxed geometry at the PBE-GGA level of DFT.

Computed properties:
The energy relative to the elements, uncorrected comes out at -746.5 meV/atom. The value obtained for the energy above the most stable polymorph in this dataset is 79 meV per atom.

Geometry as POSCAR:
```
Nd2ZnTe
1.0
-3.202 -1.648 2.179
0.742 -2.072 3.588
-1.546 5.570 6.006
Nd Zn Te
2 1 1
direct
0.079 0.079 0.764 Nd
0.255 0.255 0.236 Nd
0.668 0.668 0.997 Zn
0.499 0.499 0.502 Te
```

=====

No. 7
Computed, not measured: crystalline Sm3Si4 at its relaxed geometry at the PBE-GGA level of DFT.

Computed properties:
The energy relative to the elements, uncorrected comes out at -742.7 meV/atom.

Geometry as POSCAR:
```
Sm3Si4
1.0
3.834 0.000 -0.818
-0.216 4.234 -1.013
-0.005 -0.003 9.366
Sm Si
3 4
direct
0.500 0.000 0.000 Sm
0.182 0.182 0.364 Sm
0.818 0.818 0.636 Sm
0.066 0.566 0.132 Si
0.934 0.434 0.868 Si
0.647 0.647 0.294 Si
0.353 0.353 0.706 Si
```

=====

No. 8
Computed, not measured: crystalline Sm2Tm3N4 at its relaxed geometry at the PBE-GGA level of DFT.

Computed properties:
The energy relative to the elements, uncorrected comes out at -1482.3 meV/atom.

Geometry as POSCAR:
```
Sm2Tm3N4
1.0
3.361 0.000 0.827
1.483 5.708 1.217
-0.157 0.528 7.882
Sm Tm N
2 3 4
direct
0.603 0.182 0.612 Sm
0.397 0.818 0.388 Sm
0.000 0.000 0.000 Tm
0.209 0.399 0.183 Tm
0.791 0.601 0.817 Tm
0.802 0.106 0.291 N
0.198 0.894 0.709 N
0.395 0.302 0.908 N
0.605 0.698 0.092 N
```

=====

No. 9
Computed, not measured: crystalline InSiRu2 at its relaxed geometry at the PBE-GGA level of DFT.

Computed properties:
The energy relative to the elements, uncorrected comes out at -98.9 meV/atom.

Geometry as POSCAR:
```
InSiRu2
1.0
8.283 -0.012 -0.007
7.757 2.904 -0.007
7.757 1.399 2.545
In Ru Si
1 2 1
direct
0.750 0.750 0.750 In
0.989 0.989 0.989 Ru
0.511 0.511 0.511 Ru
0.250 0.250 0.250 Si
```

=====

No. 10
Computed, not measured: crystalline Bi2Pb3Au3 at its relaxed geometry at the PBE-GGA level of DFT.

Computed properties:
The formation energy comes out at -0.051 eV per atom.

Geometry as POSCAR:
```
Bi2Pb3Au3
1.0
4.449 0.000 0.000
-2.224 6.518 0.000
0.000 0.000 15.032
Bi Pb Au
4 6 6
direct
0.774 0.547 0.897 Bi
0.226 0.453 0.397 Bi
0.774 0.547 0.603 Bi
0.226 0.453 0.103 Bi
0.949 0.898 0.386 Pb
0.051 0.102 0.886 Pb
0.949 0.898 0.114 Pb
0.051 0.102 0.614 Pb
0.612 0.223 0.250 Pb
0.388 0.777 0.750 Pb
0.601 0.202 0.467 Au
0.399 0.798 0.967 Au
0.601 0.202 0.033 Au
0.399 0.798 0.533 Au
0.379 0.758 0.250 Au
0.621 0.242 0.750 Au
```

=====

No. 11
Computed, not measured: crystalline TbSmDyZn at its relaxed geometry at the PBE-GGA level of DFT.

Computed properties:
The formation energy comes out at -0.161 eV per atom. The value obtained for the energy above the most stable polymorph in this dataset is 0 meV per atom.

Geometry as POSCAR:
```
TbSmDyZn
1.0
-1.662 2.718 -1.647
-1.901 0.639 2.973
6.153 5.440 2.765
Tb Sm Dy Zn
1 1 1 1
direct
0.500 0.500 0.776 Tb
0.000 0.000 0.072 Sm
0.500 0.500 0.367 Dy
0.000 0.000 0.570 Zn
```

=====

No. 12
Computed, not measured: crystalline Mg2IrPt at its relaxed geometry at the PBE-GGA level of DFT.

Computed properties:
The formation energy comes out at -0.117 eV per atom.

Geometry as POSCAR:
```
Mg2IrPt
1.0
9.481 0.012 0.007
9.044 2.846 0.007
9.044 1.395 2.480
Ir Mg Pt
1 2 1
direct
0.749 0.749 0.749 Ir
0.006 0.006 0.006 Mg
0.244 0.244 0.244 Mg
0.500 0.500 0.500 Pt
```

=====

No. 13
Computed, not measured: crystalline Ca2HfBiPb at its relaxed geometry at the PBE-GGA level of DFT.

Computed properties:
The formation energy comes out at 0.796 eV per atom.

Geometry as POSCAR:
```
Ca2HfBiPb
1.0
5.774 0.000 0.000
0.000 5.979 0.000
0.000 0.000 5.774
Pb Ca Hf Bi
1 2 1 1
direct
0.000 0.000 0.000 Pb
0.000 0.000 0.500 Ca
0.500 0.000 0.000 Ca
0.500 0.500 0.500 Hf
0.000 0.500 0.000 Bi
```

=====

Number 1: theoretical density 8.203 g/cm3. Number 2: theoretical density 9.307 g/cm3. Number 3: theoretical density 9.187 g/cm3. Number 4: theoretical density 8.283 g/cm3. Number 5: theoretical density 10.305 g/cm3. Number 6: theoretical density 6.535 g/cm3. Number 7: theoretical density 6.155 g/cm3. Number 8: theoretical density 9.531 g/cm3. Number 9: theoretical density 9.302 g/cm3. Number 10: theoretical density 12.423 g/cm3. Number 11: theoretical density 8.004 g/cm3. Number 12: theoretical density 10.891 g/cm3. Number 13: theoretical density 5.622 g/cm3.